Here is a relaxed structure of ScNiAu2 from Alexandria via LeMat-Bulk. Energies are from PBE-GGA.

Cell lengths 3.9872, 3.9872, 8.3055 Å; angles 90.00, 90.00, 90.00 degrees
Space group I-4m2 (No. 119)
Symmetry-distinct sites (fractional):
Sc: 0.0000 0.0000 0.0000 x2
Ni: 0.0000 0.5000 0.7500 x2
Au: 0.0000 0.0000 0.5000 x2
Au: 0.0000 0.5000 0.2500 x2

- total magnetization (μB/f.u.) = 0.000
- density of states at the Fermi level (states/eV/atom) = 0.3511
- total energy (eV for the cell shown) = -41.6
- formation energy (kJ per mole of atoms) = -50.9